# 1
# BaMgZn | Alexandria via LeMat-Bulk | PBE-GGA | relaxed
data_BaMgZn
_symmetry_space_group_name_H-M 'P -6 m 2'
_symmetry_Int_Tables_number 187
_symmetry_space_group_name_Hall 'P -6 2'
_cell_length_a 5.0496
_cell_length_b 5.0496
_cell_length_c 4.4694
_cell_angle_alpha 90.00
_cell_angle_beta 90.00
_cell_angle_gamma 120.00
loop_
_atom_site_label
_atom_site_type_symbol
_atom_site_fract_x
_atom_site_fract_y
_atom_site_fract_z
Ba1 Ba 0.0000 0.0000 0.0000
Mg1 Mg 0.3333 0.6667 0.5000
Zn1 Zn 0.6667 0.3333 0.5000
# * total energy: -1.68 eV/atom
# * DFT formation energy: -0.08 eV per atom

# 2
# Ba3MgZn | Alexandria via LeMat-Bulk | PBE-GGA | relaxed
data_Ba3MgZn
_symmetry_space_group_name_H-M 'P m -3 m'
_symmetry_Int_Tables_number 221
_symmetry_space_group_name_Hall '-P 4 2 3'
_cell_length_a 6.4228
_cell_length_b 6.4228
_cell_length_c 6.4228
_cell_angle_alpha 90.00
_cell_angle_beta 90.00
_cell_angle_gamma 90.00
loop_
_atom_site_label
_atom_site_type_symbol
_atom_site_fract_x
_atom_site_fract_y
_atom_site_fract_z
Ba1 Ba 0.0000 0.0000 0.5000
Mg1 Mg 0.5000 0.5000 0.5000
Zn1 Zn 0.0000 0.0000 0.0000
# * total energy: -1.59 eV/atom
# * energy above the most stable polymorph in this dataset: 205 meV per atom
# * DFT formation energy: 0.13 eV per atom

# 3
# Ba2Mg6Zn3 | Alexandria via LeMat-Bulk | PBE-GGA | relaxed
data_Ba2Mg6Zn3
_symmetry_space_group_name_H-M 'P -6 2 m'
_symmetry_Int_Tables_number 189
_symmetry_space_group_name_Hall 'P -6 -2'
_cell_length_a 8.7532
_cell_length_b 8.7532
_cell_length_c 4.6237
_cell_angle_alpha 90.00
_cell_angle_beta 90.00
_cell_angle_gamma 120.00
loop_
_atom_site_label
_atom_site_type_symbol
_atom_site_fract_x
_atom_site_fract_y
_atom_site_fract_z
Ba1 Ba 0.3333 0.6667 0.0000
Mg1 Mg 0.0000 0.2000 0.0000
Mg2 Mg 0.0000 0.7159 0.5000
Zn1 Zn 0.0000 0.3810 0.5000
# * total energy: -1.63 eV/atom
# * DFT formation energy: -0.07 eV per atom